1:
Density functional theory data (PBE) for In2Hg2Te after structural relaxation.

Cell lengths 4.2375, 4.2375, 9.9832 Å; angles 90.00, 90.00, 120.00 degrees
Space group P-3m1 (No. 164)
Symmetry-distinct sites (fractional):
In (0.3333, 0.6667, 0.3059) [2 per cell]
Hg (0.3333, 0.6667, 0.8984) [2 per cell]
Te (0.0000, 0.0000, 0.5000) [1 per cell]



2:
Density functional theory data (PBE) for In2Hg2Te after structural relaxation.

Cell lengths 8.653, 8.653, 3.867 Å; angles 90.00, 90.00, 90.00 degrees
Space group P4/mbm (No. 127)
Symmetry-distinct sites (fractional):
In (0.174, 0.326, 0.000) [4 per cell]
Hg (0.131, 0.631, 0.500) [4 per cell]
Te (0.000, 0.000, 0.000) [2 per cell]



Last place for stability: 2



1:
Density functional theory data (PBE) for In2Hg2Te after structural relaxation.

Cell lengths 4.4085, 4.4085, 27.1558 Å; angles 90.00, 90.00, 120.00 degrees
Space group R-3m (No. 166, hexagonal axes)
Symmetry-distinct sites (fractional):
In (0.0000, 0.0000, 0.0982) [6 per cell]
Hg (0.0000, 0.0000, 0.3012) [6 per cell]
Te (0.0000, 0.0000, 0.5000) [3 per cell]



2:
Density functional theory data (PBE) for In2Hg2Te after structural relaxation.

Cell lengths 4.250, 4.250, 17.005 Å; angles 90.00, 90.00, 90.00 degrees
Space group I4/mmm (No. 139)
Symmetry-distinct sites (fractional):
In (0.000, 0.000, 0.094) [4 per cell]
Hg (0.000, 0.500, 0.250) [4 per cell]
Te (0.000, 0.000, 0.500) [2 per cell]



3:
Density functional theory data (PBE) for In2Hg2Te after structural relaxation.

Cell lengths 8.084, 8.084, 4.470 Å; angles 90.00, 90.00, 90.00 degrees
Space group P4/mbm (No. 127)
Symmetry-distinct sites (fractional):
In (0.177, 0.323, 0.000) [4 per cell]
Hg (0.130, 0.630, 0.500) [4 per cell]
Te (0.000, 0.000, 0.500) [2 per cell]



Last place for stability: 3



1:
Density functional theory data (PBE) for In2HgTe after structural relaxation.

Cell lengths 3.4982, 3.4982, 33.1563 Å; angles 90.00, 90.00, 120.00 degrees
Space group R3m (No. 160, hexagonal axes)
Symmetry-distinct sites (fractional):
In (0.0000, 0.0000, 0.0000) [3 per cell]
In (0.0000, 0.0000, 0.2474) [3 per cell]
Hg (0.0000, 0.0000, 0.4979) [3 per cell]
Te (0.0000, 0.0000, 0.7406) [3 per cell]



2:
Density functional theory data (PBE) for In2HgTe after structural relaxation.

Cell lengths 7.843, 7.843, 7.843 Å; angles 90.00, 90.00, 90.00 degrees
Space group Fm-3m (No. 225)
Symmetry-distinct sites (fractional):
In (0.250, 0.250, 0.250) [8 per cell]
Hg (0.000, 0.000, 0.000) [4 per cell]
Te (0.000, 0.000, 0.500) [4 per cell]



Last place for stability: 1



1:
Density functional theory data (PBE) for In2HgTe after structural relaxation.

Cell lengths 3.218, 4.349, 8.274 Å; angles 90.00, 90.01, 90.00 degrees
Space group P2/m (No. 10)
Symmetry-distinct sites (fractional):
In (0.002, 0.000, 0.272) [2 per cell]
Hg (0.500, 0.500, 0.500) [1 per cell]
Te (0.000, 0.500, 0.000) [1 per cell]



2:
Density functional theory data (PBE) for In2HgTe after structural relaxation.

Cell lengths 5.483, 5.503, 7.739 Å; angles 90.00, 90.00, 90.00 degrees
Space group Cmm2 (No. 35)
Symmetry-distinct sites (fractional):
In (0.000, 0.000, 0.000) [2 per cell]
In (0.000, 0.500, 0.278) [2 per cell]
Hg (0.000, 0.500, 0.764) [2 per cell]
Te (0.000, 0.000, 0.474) [2 per cell]



Last place for stability: 2



1:
Density functional theory data (PBE) for InHgTe3 after structural relaxation.

Cell lengths 5.679, 5.679, 5.679 Å; angles 90.00, 90.00, 90.00 degrees
Space group Pm-3m (No. 221)
Symmetry-distinct sites (fractional):
In (0.000, 0.000, 0.000) [1 per cell]
Hg (0.500, 0.500, 0.500) [1 per cell]
Te (0.000, 0.500, 0.500) [3 per cell]



2:
Density functional theory data (PBE) for InHgTe3 after structural relaxation.

Cell lengths 4.445, 6.062, 7.156 Å; angles 108.67, 100.12, 93.97 degrees
Space group P1 (No. 1)
Symmetry-distinct sites (fractional):
In (0.000, 0.000, 0.000) [1 per cell]
Hg (0.338, 0.337, 0.645) [1 per cell]
Te (0.221, 0.886, 0.349) [1 per cell]
Te (0.545, 0.314, 0.041) [1 per cell]
Te (0.874, 0.638, 0.615) [1 per cell]



Last place for stability: 1



1:
Density functional theory data (PBE) for In3HgTe2 after structural relaxation.

Cell lengths 4.490, 4.490, 18.416 Å; angles 90.00, 90.00, 90.00 degrees
Space group I4/mmm (No. 139)
Symmetry-distinct sites (fractional):
In (0.000, 0.000, 0.000) [2 per cell]
In (0.000, 0.000, 0.338) [4 per cell]
Hg (0.000, 0.000, 0.500) [2 per cell]
Te (0.000, 0.000, 0.173) [4 per cell]



2:
Density functional theory data (PBE) for In3HgTe2 after structural relaxation.

Cell lengths 4.539, 6.327, 13.055 Å; angles 90.00, 90.00, 90.00 degrees
Space group Immm (No. 71)
Symmetry-distinct sites (fractional):
In (0.000, 0.000, 0.000) [2 per cell]
In (0.000, 0.000, 0.333) [4 per cell]
Hg (0.000, 0.500, 0.000) [2 per cell]
Te (0.000, 0.500, 0.328) [4 per cell]



Last place for stability: 1



1:
Density functional theory data (PBE) for TlInHgTe after structural relaxation.

Cell lengths 8.009, 8.009, 8.009 Å; angles 90.00, 90.00, 90.00 degrees
Space group F-43m (No. 216)
Symmetry-distinct sites (fractional):
Tl (0.000, 0.000, 0.000) [4 per cell]
In (0.000, 0.000, 0.500) [4 per cell]
Hg (0.250, 0.250, 0.750) [4 per cell]
Te (0.250, 0.250, 0.250) [4 per cell]



2:
Density functional theory data (PBE) for TlInHgTe after structural relaxation.

Cell lengths 4.4580, 4.4580, 8.0500 Å; angles 90.00, 90.00, 120.00 degrees
Space group P3m1 (No. 156)
Symmetry-distinct sites (fractional):
Tl (0.0000, 0.0000, 0.0000) [1 per cell]
In (0.3333, 0.6667, 0.4747) [1 per cell]
Hg (0.6667, 0.3333, 0.7250) [1 per cell]
Te (0.6667, 0.3333, 0.2558) [1 per cell]



Last place for stability: 1



1:
Density functional theory data (PBE) for Th5InHg2 after structural relaxation.

Cell lengths 4.983, 4.983, 18.784 Å; angles 90.00, 90.00, 90.00 degrees
Space group I4/mmm (No. 139)
Symmetry-distinct sites (fractional):
Th (0.000, 0.000, 0.000) [2 per cell]
Th (0.000, 0.500, 0.128) [8 per cell]
In (0.000, 0.000, 0.500) [2 per cell]
Hg (0.000, 0.000, 0.250) [4 per cell]



2:
Density functional theory data (PBE) for Th5InHg2 after structural relaxation.

Cell lengths 8.113, 8.113, 14.591 Å; angles 90.00, 90.00, 90.00 degrees
Space group I4/mcm (No. 140)
Symmetry-distinct sites (fractional):
Th (0.000, 0.000, 0.000) [4 per cell]
Th (0.163, 0.337, 0.158) [16 per cell]
In (0.000, 0.000, 0.250) [4 per cell]
Hg (0.130, 0.370, 0.500) [8 per cell]



Last place for stability: 2



1:
Density functional theory data (PBE) for Th2InHg6 after structural relaxation.

Cell lengths 4.984, 6.384, 15.467 Å; angles 90.00, 90.00, 90.00 degrees
Space group Immm (No. 71)
Symmetry-distinct sites (fractional):
Th (0.000, 0.000, 0.112) [4 per cell]
In (0.000, 0.500, 0.000) [2 per cell]
Hg (0.000, 0.240, 0.303) [8 per cell]
Hg (0.000, 0.264, 0.500) [4 per cell]



2:
Density functional theory data (PBE) for Th2InHg6 after structural relaxation.

Cell lengths 11.418, 6.592, 6.018 Å; angles 90.00, 90.05, 90.00 degrees
Space group C2/m (No. 12)
Symmetry-distinct sites (fractional):
Th (0.167, 0.000, 0.334) [4 per cell]
In (0.000, 0.500, 0.500) [2 per cell]
Hg (0.091, 0.226, 0.825) [8 per cell]
Hg (0.183, 0.500, 0.177) [4 per cell]



Last place for stability: 1



1:
Density functional theory data (PBE) for Th4InHg after structural relaxation.

Cell lengths 5.577, 21.810, 6.645 Å; angles 90.00, 90.00, 90.00 degrees
Space group Cmc2_1 (No. 36)
Symmetry-distinct sites (fractional):
Th (0.000, 0.068, 0.000) [4 per cell]
Th (0.000, 0.209, 0.795) [4 per cell]
Th (0.000, 0.211, 0.294) [4 per cell]
Th (0.000, 0.373, 0.058) [4 per cell]
In (0.000, 0.347, 0.552) [4 per cell]
Hg (0.000, 0.071, 0.488) [4 per cell]



2:
Density functional theory data (PBE) for Th4InHg after structural relaxation.

Cell lengths 7.830, 7.830, 5.918 Å; angles 90.00, 90.00, 90.00 degrees
Space group P4/mcc (No. 124)
Symmetry-distinct sites (fractional):
Th (0.152, 0.345, 0.000) [8 per cell]
In (0.500, 0.500, 0.250) [2 per cell]
Hg (0.000, 0.000, 0.250) [2 per cell]



Last place for stability: 1



1:
Density functional theory data (PBE) for ThTlInHg after structural relaxation.

Cell lengths 7.534, 7.534, 7.534 Å; angles 90.00, 90.00, 90.00 degrees
Space group F-43m (No. 216)
Symmetry-distinct sites (fractional):
Th (0.000, 0.000, 0.000) [4 per cell]
Tl (0.250, 0.250, 0.250) [4 per cell]
In (0.000, 0.000, 0.500) [4 per cell]
Hg (0.250, 0.250, 0.750) [4 per cell]



2:
Density functional theory data (PBE) for ThTlInHg after structural relaxation.

Cell lengths 4.736, 4.747, 4.774 Å; angles 90.00, 90.00, 90.00 degrees
Space group Pmmm (No. 47)
Symmetry-distinct sites (fractional):
Th (0.000, 0.000, 0.000) [1 per cell]
Tl (0.500, 0.500, 0.000) [1 per cell]
In (0.500, 0.000, 0.500) [1 per cell]
Hg (0.000, 0.500, 0.500) [1 per cell]



Last place for stability: 1



1:
Density functional theory data (PBE) for ThZrInHg after structural relaxation.

Cell lengths 7.435, 7.435, 7.435 Å; angles 90.00, 90.00, 90.00 degrees
Space group F-43m (No. 216)
Symmetry-distinct sites (fractional):
Th (0.000, 0.000, 0.000) [4 per cell]
Zr (0.000, 0.000, 0.500) [4 per cell]
In (0.250, 0.250, 0.250) [4 per cell]
Hg (0.250, 0.250, 0.750) [4 per cell]



2:
Density functional theory data (PBE) for ThZrInHg after structural relaxation.

Cell lengths 3.333, 3.333, 8.876 Å; angles 90.00, 90.00, 90.00 degrees
Space group P4mm (No. 99)
Symmetry-distinct sites (fractional):
Th (0.000, 0.000, 0.000) [1 per cell]
Zr (0.000, 0.000, 0.507) [1 per cell]
In (0.500, 0.500, 0.275) [1 per cell]
Hg (0.500, 0.500, 0.734) [1 per cell]



Last place for stability: 1